1.
VASP calculation (GGA-PBE) on crystalline Ce2UAl at its relaxed geometry.

## Properties
**Energy relative to the elements**: 0.3023 eV per atom
**N(E_F)**: 2.18 states/eV per atom
**Distance to the lowest polymorph of the same formula**: 1.02 eV/f.u.

Cell and atoms, written as CIF:
```
data_Ce2UAl
_chemical_formula_sum 'Ce6 U3 Al3'
_symmetry_space_group_name_H-M 'R -3 m'
_symmetry_Int_Tables_number 166
_symmetry_space_group_name_Hall '-R 3 2"'
_cell_length_a 3.7313
_cell_length_b 3.7313
_cell_length_c 23.8458
_cell_angle_alpha 90.00
_cell_angle_beta 90.00
_cell_angle_gamma 120.00
loop_
_atom_site_label
_atom_site_fract_x
_atom_site_fract_y
_atom_site_fract_z
Ce1 0.0000 0.0000 0.2333
U1 0.0000 0.0000 0.5000
Al1 0.0000 0.0000 0.0000
```

---

2.
VASP calculation (GGA-PBE) on crystalline Y2V2Ru at its relaxed geometry.

## Properties
**Energy relative to the elements**: 0.0934 eV per atom
**N(E_F)**: 1.02 states/eV per atom

Cell and atoms, written as CIF:
```
data_Y2V2Ru
_chemical_formula_sum 'Y4 V4 Ru2'
_symmetry_space_group_name_H-M 'P 4/m b m'
_symmetry_Int_Tables_number 127
_symmetry_space_group_name_Hall '-P 4 2ab'
_cell_length_a 6.3584
_cell_length_b 6.3584
_cell_length_c 4.9835
_cell_angle_alpha 90.00
_cell_angle_beta 90.00
_cell_angle_gamma 90.00
loop_
_atom_site_label
_atom_site_fract_x
_atom_site_fract_y
_atom_site_fract_z
Y1 0.1747 0.3253 0.0000
V1 0.1379 0.6379 0.5000
Ru1 0.0000 0.0000 0.5000
```

---

3.
VASP calculation (GGA-PBE) on crystalline CoRu2Cl at its relaxed geometry.

## Properties
**Formation energy from raw total energies**: 2.47 eV/f.u.
**N(E_F)**: 1.43 states/eV per atom
**Distance to the lowest polymorph of the same formula**: 1.05 eV/f.u.

Cell and atoms, written as CIF:
```
data_CoRu2Cl
_chemical_formula_sum 'Co2 Ru4 Cl2'
_symmetry_space_group_name_H-M 'C m m 2'
_symmetry_Int_Tables_number 35
_symmetry_space_group_name_Hall 'C 2 -2'
_cell_length_a 2.8037
_cell_length_b 4.8873
_cell_length_c 8.4456
_cell_angle_alpha 90.00
_cell_angle_beta 90.00
_cell_angle_gamma 90.00
loop_
_atom_site_label
_atom_site_fract_x
_atom_site_fract_y
_atom_site_fract_z
Co1 0.0000 0.0000 0.0000
Ru1 0.0000 0.0000 0.5059
Ru2 0.0000 0.5000 0.2485
Cl1 0.0000 0.5000 0.7735
```

---

E_tot values (in eV/atom) by entry order: -6.4224, -7.9948, -6.2583.